The following is a PBE calculation of a geometry-optimized Ce2WN structure, from the Alexandria database.

V: 75.19 Å³/cell
Formation energy from raw total energies: -0.027 eV per atom
Total DFT energy (no corrections): -8.31 eV/atom

The structure in CIF format:
```
data_Ce2WN
_symmetry_space_group_name_H-M 'P 1'
_symmetry_Int_Tables_number 1
_cell_length_a 3.1585
_cell_length_b 3.1585
_cell_length_c 8.8921
_cell_angle_alpha 79.77
_cell_angle_beta 79.77
_cell_angle_gamma 60.00
loop_
_symmetry_equiv_pos_as_xyz
'x,y,z'
loop_
_atom_site_label
_atom_site_type_symbol
_atom_site_fract_x
_atom_site_fract_y
_atom_site_fract_z
Ce1 Ce 0.1068 0.1068 0.6795
Ce2 Ce 0.8932 0.8932 0.3205
W1 W 0.0000 0.0000 0.0000
N1 N 0.5000 0.5000 0.5000
```